Record 1
# CeTm2Th PBE-GGA optimized geometry
# E_tot: -0.20253 Ha/atom
# magnetic moment: 1.0 μB/f.u.
# symmetry: P4/mmm (123)
# energy of formation from the pure elements: 0.063 eV per atom
# energy above the most stable polymorph in this dataset: 20.8 meV/atom
# DOS(E_F): 7.13 states/eV per cell
data_CeTm2Th
_chemical_formula_sum 'Ce1 Tm2 Th1'
_cell_length_a 3.5146
_cell_length_b 3.5146
_cell_length_c 9.9443
_cell_angle_alpha 90.00
_cell_angle_beta 90.00
_cell_angle_gamma 90.00
_symmetry_space_group_name_H-M 'P 1'
_symmetry_Int_Tables_number 1
loop_
_symmetry_equiv_pos_as_xyz
'x,y,z'
loop_
_atom_site_label
_atom_site_fract_x
_atom_site_fract_y
_atom_site_fract_z
Ce1 0.0000 0.0000 0.0000
Tm1 0.5000 0.5000 0.2505
Tm2 0.5000 0.5000 0.7495
Th1 0.0000 0.0000 0.5000

***

Record 2
# YBe3Al PBE-GGA optimized geometry
# E_tot: -0.08597 Ha/atom
# magnetic moment: 0.9 μB/f.u.
# symmetry: Pm-3m (221)
# energy of formation from the pure elements: 1.938 eV per atom
# energy above the most stable polymorph in this dataset: 1465.3 meV/atom
# DOS(E_F): 4.55 states/eV per cell
data_YBe3Al
_chemical_formula_sum 'Y1 Be3 Al1'
_cell_length_a 4.9453
_cell_length_b 4.9453
_cell_length_c 4.9453
_cell_angle_alpha 90.00
_cell_angle_beta 90.00
_cell_angle_gamma 90.00
_symmetry_space_group_name_H-M 'P 1'
_symmetry_Int_Tables_number 1
loop_
_symmetry_equiv_pos_as_xyz
'x,y,z'
loop_
_atom_site_label
_atom_site_fract_x
_atom_site_fract_y
_atom_site_fract_z
Y1 0.0000 0.0000 0.0000
Be1 0.0000 0.0000 0.5000
Be2 0.0000 0.5000 0.0000
Be3 0.5000 0.0000 0.0000
Al1 0.5000 0.5000 0.5000

***

Record 3
# LaTlRe2 PBE-GGA optimized geometry
# E_tot: -0.26081 Ha/atom
# magnetic moment: 0.0 μB/f.u.
# symmetry: P4/mmm (123)
# energy of formation from the pure elements: 0.950 eV per atom
# energy above the most stable polymorph in this dataset: 759.3 meV/atom
# DOS(E_F): 4.48 states/eV per cell
data_LaTlRe2
_chemical_formula_sum 'La1 Tl1 Re2'
_cell_length_a 4.3540
_cell_length_b 4.3540
_cell_length_c 4.3348
_cell_angle_alpha 90.00
_cell_angle_beta 90.00
_cell_angle_gamma 90.00
_symmetry_space_group_name_H-M 'P 1'
_symmetry_Int_Tables_number 1
loop_
_symmetry_equiv_pos_as_xyz
'x,y,z'
loop_
_atom_site_label
_atom_site_fract_x
_atom_site_fract_y
_atom_site_fract_z
La1 0.0000 0.0000 0.0000
Tl1 0.5000 0.5000 0.0000
Re1 0.0000 0.5000 0.5000
Re2 0.5000 0.0000 0.5000

***

Record 4
# Ca2Mg12Zn3Ga PBE-GGA optimized geometry
# E_tot: -0.05760 Ha/atom
# magnetic moment: 0.0 μB/f.u.
# symmetry: R-3m (166)
# energy of formation from the pure elements: 0.099 eV per atom
# DOS(E_F): 8.85 states/eV per cell
data_Ca2Mg12Zn3Ga
_chemical_formula_sum 'Ca2 Mg12 Zn3 Ga1'
_cell_length_a 12.9816
_cell_length_b 12.9816
_cell_length_c 12.9816
_cell_angle_alpha 29.15
_cell_angle_beta 29.15
_cell_angle_gamma 29.15
_symmetry_space_group_name_H-M 'P 1'
_symmetry_Int_Tables_number 1
loop_
_symmetry_equiv_pos_as_xyz
'x,y,z'
loop_
_atom_site_label
_atom_site_fract_x
_atom_site_fract_y
_atom_site_fract_z
Ca1 0.1392 0.1392 0.1392
Ca2 0.8608 0.8608 0.8608
Mg1 0.1041 0.1041 0.6401
Mg2 0.1041 0.6401 0.1041
Mg3 0.1083 0.6156 0.6156
Mg4 0.3599 0.8959 0.8959
Mg5 0.3844 0.3844 0.8917
Mg6 0.3844 0.8917 0.3844
Mg7 0.6156 0.1083 0.6156
Mg8 0.6156 0.6156 0.1083
Mg9 0.6401 0.1041 0.1041
Mg10 0.8917 0.3844 0.3844
Mg11 0.8959 0.3599 0.8959
Mg12 0.8959 0.8959 0.3599
Zn1 0.0000 0.5000 0.5000
Zn2 0.5000 0.0000 0.5000
Zn3 0.5000 0.5000 0.0000
Ga1 0.5000 0.5000 0.5000

***

Record 5
# PdBrCl2 PBE-GGA optimized geometry
# E_tot: -0.09787 Ha/atom
# magnetic moment: 2.5 μB/f.u.
# symmetry: R-3m (166)
# formation energy from raw total energies: -23.5 meV/atom
# energy above the most stable polymorph in this dataset: 266.8 meV/atom
# DOS(E_F): 5.96 states/eV per cell
data_PdBrCl2
_chemical_formula_sum 'Pd1 Br1 Cl2'
_cell_length_a 10.6239
_cell_length_b 10.6239
_cell_length_c 10.6239
_cell_angle_alpha 19.39
_cell_angle_beta 19.39
_cell_angle_gamma 19.39
_symmetry_space_group_name_H-M 'P 1'
_symmetry_Int_Tables_number 1
loop_
_symmetry_equiv_pos_as_xyz
'x,y,z'
loop_
_atom_site_label
_atom_site_fract_x
_atom_site_fract_y
_atom_site_fract_z
Pd1 0.0000 0.0000 0.0000
Br1 0.5000 0.5000 0.5000
Cl1 0.3793 0.3793 0.3793
Cl2 0.6207 0.6207 0.6207

***

Record 6
# NaGaPb2Cl6 PBE-GGA optimized geometry
# E_tot: -0.12761 Ha/atom
# magnetic moment: 0.0 μB/f.u.
# symmetry: R3 (146)
# formation energy from raw total energies: -1188.2 meV/atom
# DOS(E_F): 0.00 states/eV per cell
data_NaGaPb2Cl6
_chemical_formula_sum 'Na1 Ga1 Pb2 Cl6'
_cell_length_a 7.8327
_cell_length_b 7.8327
_cell_length_c 7.8327
_cell_angle_alpha 56.53
_cell_angle_beta 56.53
_cell_angle_gamma 56.53
_symmetry_space_group_name_H-M 'P 1'
_symmetry_Int_Tables_number 1
loop_
_symmetry_equiv_pos_as_xyz
'x,y,z'
loop_
_atom_site_label
_atom_site_fract_x
_atom_site_fract_y
_atom_site_fract_z
Na1 0.0000 0.0000 0.0000
Ga1 0.4953 0.4953 0.4953
Pb1 0.2002 0.2002 0.2002
Pb2 0.6967 0.6967 0.6967
Cl1 0.0852 0.8193 0.3982
Cl2 0.2950 0.6090 0.9061
Cl3 0.3982 0.0852 0.8193
Cl4 0.6090 0.9061 0.2950
Cl5 0.8193 0.3982 0.0852
Cl6 0.9061 0.2950 0.6090

***

Record 7
# CsLiV3 PBE-GGA optimized geometry
# E_tot: -0.12961 Ha/atom
# magnetic moment: 0.4 μB/f.u.
# symmetry: Pm-3m (221)
# energy of formation from the pure elements: 2.498 eV per atom
# DOS(E_F): 10.43 states/eV per cell
data_CsLiV3
_chemical_formula_sum 'Cs1 Li1 V3'
_cell_length_a 4.8055
_cell_length_b 4.8055
_cell_length_c 4.8055
_cell_angle_alpha 90.00
_cell_angle_beta 90.00
_cell_angle_gamma 90.00
_symmetry_space_group_name_H-M 'P 1'
_symmetry_Int_Tables_number 1
loop_
_symmetry_equiv_pos_as_xyz
'x,y,z'
loop_
_atom_site_label
_atom_site_fract_x
_atom_site_fract_y
_atom_site_fract_z
Cs1 0.0000 0.0000 0.0000
Li1 0.5000 0.5000 0.5000
V1 0.0000 0.0000 0.5000
V2 0.0000 0.5000 0.0000
V3 0.5000 0.0000 0.0000

***

Record 8
# Pm3Ga4Hg2 PBE-GGA optimized geometry
# E_tot: -0.13062 Ha/atom
# magnetic moment: 0.0 μB/f.u.
# symmetry: C2/m (12)
# energy of formation from the pure elements: -0.558 eV per atom
# DOS(E_F): 5.48 states/eV per cell
data_Pm3Ga4Hg2
_chemical_formula_sum 'Pm3 Ga4 Hg2'
_cell_length_a 5.9934
_cell_length_b 5.9934
_cell_length_c 8.8426
_cell_angle_alpha 108.23
_cell_angle_beta 108.23
_cell_angle_gamma 44.77
_symmetry_space_group_name_H-M 'P 1'
_symmetry_Int_Tables_number 1
loop_
_symmetry_equiv_pos_as_xyz
'x,y,z'
loop_
_atom_site_label
_atom_site_fract_x
_atom_site_fract_y
_atom_site_fract_z
Pm1 0.0000 0.0000 0.0000
Pm2 0.3485 0.3485 0.3201
Pm3 0.6515 0.6515 0.6799
Ga1 0.0688 0.0688 0.4076
Ga2 0.2877 0.2877 0.9586
Ga3 0.7123 0.7123 0.0414
Ga4 0.9312 0.9312 0.5924
Hg1 0.3583 0.3583 0.6956
Hg2 0.6417 0.6417 0.3044

***

Record 9
# ZnSnBi2O6 PBE-GGA optimized geometry
# E_tot: -0.20655 Ha/atom
# magnetic moment: 0.0 μB/f.u.
# symmetry: P2_1/c (14)
# formation energy from raw total energies: -1341.8 meV/atom
# DOS(E_F): 0.00 states/eV per cell
data_ZnSnBi2O6
_chemical_formula_sum 'Zn2 Sn2 Bi4 O12'
_cell_length_a 5.5886
_cell_length_b 5.9669
_cell_length_c 9.7115
_cell_angle_alpha 90.00
_cell_angle_beta 124.75
_cell_angle_gamma 90.00
_symmetry_space_group_name_H-M 'P 1'
_symmetry_Int_Tables_number 1
loop_
_symmetry_equiv_pos_as_xyz
'x,y,z'
loop_
_atom_site_label
_atom_site_fract_x
_atom_site_fract_y
_atom_site_fract_z
Zn1 0.0000 0.0000 0.0000
Zn2 0.0000 0.5000 0.5000
Sn1 0.5000 0.0000 0.5000
Sn2 0.5000 0.5000 0.0000
Bi1 0.2403 0.0527 0.7503
Bi2 0.2403 0.4473 0.2503
Bi3 0.7597 0.5527 0.7497
Bi4 0.7597 0.9473 0.2497
O1 0.1345 0.1816 0.4495
O2 0.1345 0.3184 0.9495
O3 0.2718 0.6956 0.4461
O4 0.2718 0.8044 0.9461
O5 0.3672 0.0408 0.2501
O6 0.3672 0.4592 0.7501
O7 0.6328 0.5408 0.2499
O8 0.6328 0.9592 0.7499
O9 0.7282 0.1956 0.0539
O10 0.7282 0.3044 0.5539
O11 0.8655 0.6816 0.0505
O12 0.8655 0.8184 0.5505

***

Record 10
# OsCl PBE-GGA optimized geometry
# E_tot: -0.21634 Ha/atom
# magnetic moment: 0.0 μB/f.u.
# symmetry: P2_12_12_1 (19)
# formation energy from raw total energies: 651.2 meV/atom
# energy above the most stable polymorph in this dataset: 527.2 meV/atom
# DOS(E_F): 5.11 states/eV per cell
data_OsCl
_chemical_formula_sum 'Os8 Cl8'
_cell_length_a 6.0730
_cell_length_b 6.6131
_cell_length_c 9.6226
_cell_angle_alpha 90.00
_cell_angle_beta 90.00
_cell_angle_gamma 90.00
_symmetry_space_group_name_H-M 'P 1'
_symmetry_Int_Tables_number 1
loop_
_symmetry_equiv_pos_as_xyz
'x,y,z'
loop_
_atom_site_label
_atom_site_fract_x
_atom_site_fract_y
_atom_site_fract_z
Os1 0.0650 0.0697 0.1447
Os2 0.0663 0.4180 0.1501
Os3 0.4337 0.5820 0.6501
Os4 0.4350 0.9303 0.6447
Os5 0.5650 0.4303 0.8553
Os6 0.5663 0.0820 0.8499
Os7 0.9337 0.9180 0.3499
Os8 0.9350 0.5697 0.3553
Cl1 0.0692 0.5031 0.5816
Cl2 0.0701 0.0027 0.5716
Cl3 0.4299 0.9973 0.0716
Cl4 0.4308 0.4969 0.0816
Cl5 0.5692 0.9969 0.4184
Cl6 0.5701 0.4973 0.4284
Cl7 0.9299 0.5027 0.9284
Cl8 0.9308 0.0031 0.9184

***

Record 11
# Y12Tm7Tl PBE-GGA optimized geometry
# E_tot: -0.20259 Ha/atom
# magnetic moment: 0.0 μB/f.u.
# symmetry: R-3 (148)
# energy of formation from the pure elements: 0.049 eV per atom
# DOS(E_F): 38.11 states/eV per cell
data_Y12Tm7Tl
_chemical_formula_sum 'Y12 Tm7 Tl1'
_cell_length_a 8.7354
_cell_length_b 8.7354
_cell_length_c 8.7354
_cell_angle_alpha 101.07
_cell_angle_beta 101.07
_cell_angle_gamma 101.07
_symmetry_space_group_name_H-M 'P 1'
_symmetry_Int_Tables_number 1
loop_
_symmetry_equiv_pos_as_xyz
'x,y,z'
loop_
_atom_site_label
_atom_site_fract_x
_atom_site_fract_y
_atom_site_fract_z
Y1 0.9997 0.2600 0.7399
Y2 0.0003 0.7400 0.2601
Y3 0.1587 0.1602 0.4199
Y4 0.1602 0.4199 0.1587
Y5 0.2601 0.0003 0.7400
Y6 0.2600 0.7399 0.9997
Y7 0.4199 0.1587 0.1602
Y8 0.5801 0.8413 0.8398
Y9 0.7399 0.9997 0.2600
Y10 0.7400 0.2601 0.0003
Y11 0.8398 0.5801 0.8413
Y12 0.8413 0.8398 0.5801
Tm1 0.0000 0.0000 0.0000
Tm2 0.1791 0.5956 0.5956
Tm3 0.4044 0.4044 0.8209
Tm4 0.4044 0.8209 0.4044
Tm5 0.5956 0.1791 0.5956
Tm6 0.5956 0.5956 0.1791
Tm7 0.8209 0.4044 0.4044
Tl1 0.5000 0.5000 0.5000

***

Record 12
# Dy8CdPd2 PBE-GGA optimized geometry
# E_tot: -0.17094 Ha/atom
# magnetic moment: 0.0 μB/f.u.
# symmetry: C2/m (12)
# energy of formation from the pure elements: -0.277 eV per atom
# DOS(E_F): 15.18 states/eV per cell
data_Dy8CdPd2
_chemical_formula_sum 'Dy8 Cd1 Pd2'
_cell_length_a 8.0442
_cell_length_b 8.0442
_cell_length_c 5.4934
_cell_angle_alpha 98.24
_cell_angle_beta 98.24
_cell_angle_gamma 115.21
_symmetry_space_group_name_H-M 'P 1'
_symmetry_Int_Tables_number 1
loop_
_symmetry_equiv_pos_as_xyz
'x,y,z'
loop_
_atom_site_label
_atom_site_fract_x
_atom_site_fract_y
_atom_site_fract_z
Dy1 0.0816 0.3295 0.5829
Dy2 0.2417 0.7583 0.0000
Dy3 0.3295 0.0816 0.5829
Dy4 0.3902 0.3902 0.1918
Dy5 0.6098 0.6098 0.8082
Dy6 0.6705 0.9184 0.4171
Dy7 0.7583 0.2417 0.0000
Dy8 0.9184 0.6705 0.4171
Cd1 0.0000 0.0000 0.0000
Pd1 0.3035 0.6965 0.5000
Pd2 0.6965 0.3035 0.5000

***

Please write out number 12 again, unchanged.
# Dy8CdPd2 PBE-GGA optimized geometry
# E_tot: -0.17094 Ha/atom
# magnetic moment: 0.0 μB/f.u.
# symmetry: C2/m (12)
# energy of formation from the pure elements: -0.277 eV per atom
# DOS(E_F): 15.18 states/eV per cell
data_Dy8CdPd2
_chemical_formula_sum 'Dy8 Cd1 Pd2'
_cell_length_a 8.0442
_cell_length_b 8.0442
_cell_length_c 5.4934
_cell_angle_alpha 98.24
_cell_angle_beta 98.24
_cell_angle_gamma 115.21
_symmetry_space_group_name_H-M 'P 1'
_symmetry_Int_Tables_number 1
loop_
_symmetry_equiv_pos_as_xyz
'x,y,z'
loop_
_atom_site_label
_atom_site_fract_x
_atom_site_fract_y
_atom_site_fract_z
Dy1 0.0816 0.3295 0.5829
Dy2 0.2417 0.7583 0.0000
Dy3 0.3295 0.0816 0.5829
Dy4 0.3902 0.3902 0.1918
Dy5 0.6098 0.6098 0.8082
Dy6 0.6705 0.9184 0.4171
Dy7 0.7583 0.2417 0.0000
Dy8 0.9184 0.6705 0.4171
Cd1 0.0000 0.0000 0.0000
Pd1 0.3035 0.6965 0.5000
Pd2 0.6965 0.3035 0.5000

***

What is the E_tot in the third record?
-0.26081 Ha/atom

***

magnetic moment of number 11 (Y12Tm7Tl)?
0.0 μB/f.u.